# 1
# SmZrAs2

SmZrAs2 after structural relaxation (PBE, the Alexandria database).

The energy of formation from the pure elements comes out at -1.22 eV per atom. The value obtained for the excess energy over the best structure of this formula in the dataset is 94 meV per atom. The calculation puts the magnetic moment at 0.0 μB per formula unit. The final energy is -27.45 eV/f.u.

The space group is R3m (No. 160, hexagonal axes) and the conventional cell measures 3.9499, 3.9499 and 20.8682 Å, with angles of 90.00, 90.00 and 120.00 degrees. The distinct sites, in fractional coordinates, are Sm at (0.0000, 0.0000, 0.0000), Zr at (0.0000, 0.0000, 0.1740), As at (0.0000, 0.0000, 0.5793) and As at (0.0000, 0.0000, 0.7617).



# 2
# Ag2Os2Br

Ag2Os2Br after structural relaxation (PBE, the Alexandria database).

The value obtained for the uncorrected formation energy is 1.036 eV/atom. The value obtained for the excess energy over the best structure of this formula in the dataset is 0 meV per atom. The calculation puts the magnetic moment at 0.7 μB per formula unit. The final energy is -24.65 eV/f.u.

The space group is P4/mbm (No. 127) and the conventional cell measures 8.6018, 8.6018 and 2.6575 Å, with angles of 90.00, 90.00 and 90.00 degrees. The distinct sites, in fractional coordinates, are Ag at (0.1951, 0.3049, 0.0000), Os at (0.0958, 0.5958, 0.5000) and Br at (0.0000, 0.0000, 0.5000).



# 3
# TlSi2N

TlSi2N after structural relaxation (PBE, the Alexandria database).

The value obtained for the uncorrected formation energy is 1.590 eV/atom. The value obtained for the excess energy over the best structure of this formula in the dataset is 1174 meV per atom. The calculation puts the magnetic moment at 0.0 μB per formula unit. The final energy is -15.18 eV/f.u.

The space group is Fm-3m (No. 225) and the conventional cell measures 6.4623, 6.4623 and 6.4623 Å, with angles of 90.00, 90.00 and 90.00 degrees. The distinct sites, in fractional coordinates, are Tl at (0.0000, 0.0000, 0.0000), Si at (0.2500, 0.2500, 0.2500) and N at (0.0000, 0.0000, 0.5000).



# 4
# AgAsSe2Br

AgAsSe2Br after structural relaxation (PBE, the Alexandria database).

The value obtained for the uncorrected formation energy is 1.060 eV/atom. The value obtained for the excess energy over the best structure of this formula in the dataset is 695 meV per atom. The calculation puts the magnetic moment at 1.8 μB per formula unit. The final energy is -10.84 eV/f.u.

The space group is P4/mmm (No. 123) and the conventional cell measures 5.2515, 5.2515 and 5.1552 Å, with angles of 90.00, 90.00 and 90.00 degrees. The distinct sites, in fractional coordinates, are Ag at (0.0000, 0.0000, 0.0000), As at (0.5000, 0.5000, 0.0000), Se at (0.0000, 0.5000, 0.5000) and Br at (0.5000, 0.5000, 0.5000).



# 5
# BaZnSn2Pd

BaZnSn2Pd after structural relaxation (PBE, the Alexandria database).

The energy of formation from the pure elements comes out at -0.53 eV per atom. The calculation puts the magnetic moment at 0.0 μB per formula unit. The final energy is -19.07 eV/f.u.

The space group is I-4m2 (No. 119) and the conventional cell measures 4.7672, 4.7672 and 11.3978 Å, with angles of 90.00, 90.00 and 90.00 degrees. The distinct sites, in fractional coordinates, are Ba at (0.0000, 0.0000, 0.0000), Zn at (0.0000, 0.5000, 0.2500), Sn at (0.0000, 0.0000, 0.3682) and Pd at (0.0000, 0.5000, 0.7500).



# 6
# NaPbF3

NaPbF3 after structural relaxation (PBE, the Alexandria database).

The value obtained for the uncorrected formation energy is -2.494 eV/atom. The value obtained for the excess energy over the best structure of this formula in the dataset is 26 meV per atom. The calculation puts the magnetic moment at 0.0 μB per formula unit. The final energy is -23.11 eV/f.u.

The space group is P2_1/m (No. 11) and the conventional cell measures 6.7652, 3.5439 and 6.7678 Å, with angles of 90.00, 95.35 and 90.00 degrees. The distinct sites, in fractional coordinates, are Na at (0.1376, 0.2500, 0.1712), Pb at (0.3664, 0.7500, 0.7310), F at (0.0963, 0.2500, 0.8276), F at (0.3263, 0.2500, 0.4662) and F at (0.3857, 0.7500, 0.1243).



Question: What is the final energy in the third record?
Answer: -15.18 eV/f.u.